{"formula": "CaCeDy", "functional": "PBE", "state": "optimized geometry", "space_group": "I4mm (107)", "e_form_ev_per_atom": 0.1525, "density_g_cm3": 5.60, "dos_ef_per_ev_atom": 2.44, "lattice_angstrom": [[-1.785, 1.785, 7.976], [1.785, -1.785, 7.976], [1.785, 1.785, -7.976]], "species": ["Ca", "Ce", "Dy"], "frac_coords": [[0.000, 0.000, 0.000], [0.324, 0.324, 0.000], [0.676, 0.676, 0.000]]}

***

{"formula": "CaCeDy", "functional": "PBE", "state": "optimized geometry", "space_group": "P3m1 (156)", "e_form_ev_per_atom": 0.1402, "density_g_cm3": 5.63, "dos_ef_per_ev_atom": 2.23, "lattice_angstrom": [[3.590, 0.000, 0.000], [-1.795, 3.109, 0.000], [0.000, 0.000, 9.052]], "species": ["Ca", "Ce", "Dy"], "frac_coords": [[0.000, 0.000, 0.000], [0.333, 0.667, 0.651], [0.667, 0.333, 0.346]]}

***

{"formula": "CaCeDy2", "functional": "PBE", "state": "optimized geometry", "space_group": "P4/mmm (123)", "e_form_ev_per_atom": 0.1980, "density_g_cm3": 6.32, "dos_ef_per_ev_atom": 2.16, "lattice_angstrom": [[5.126, 0.000, 0.000], [0.000, 5.126, 0.000], [0.000, 0.000, 5.054]], "species": ["Ca", "Ce", "Dy", "Dy"], "frac_coords": [[0.000, 0.000, 0.000], [0.500, 0.500, 0.000], [0.000, 0.500, 0.500], [0.500, 0.000, 0.500]]}

***

{"formula": "CaCeDy2", "functional": "PBE", "state": "optimized geometry", "space_group": "R3m (160)", "e_form_ev_per_atom": 0.0873, "density_g_cm3": 6.44, "dos_ef_per_ev_atom": 1.81, "lattice_angstrom": [[1.787, 1.032, 11.785], [-1.787, 1.032, 11.785], [0.000, -2.063, 11.785]], "species": ["Ca", "Ce", "Dy", "Dy"], "frac_coords": [[0.000, 0.000, 0.000], [0.166, 0.166, 0.166], [0.577, 0.577, 0.577], [0.755, 0.755, 0.755]]}

***

{"formula": "CaCeDy2", "functional": "PBE", "state": "optimized geometry", "space_group": "R-3m (166)", "e_form_ev_per_atom": 0.1817, "density_g_cm3": 6.37, "dos_ef_per_ev_atom": 1.70, "lattice_angstrom": [[1.755, 1.013, 12.354], [-1.755, 1.013, 12.354], [0.000, -2.026, 12.354]], "species": ["Ca", "Ce", "Dy", "Dy"], "frac_coords": [[0.000, 0.000, 0.000], [0.500, 0.500, 0.500], [0.092, 0.092, 0.092], [0.908, 0.908, 0.908]]}

***

{"formula": "CaCe4Dy", "functional": "PBE", "state": "optimized geometry", "space_group": "F-43m (216)", "e_form_ev_per_atom": 0.2532, "density_g_cm3": 6.70, "dos_ef_per_ev_atom": 2.96, "lattice_angstrom": [[0.000, 4.555, 4.555], [4.555, 0.000, 4.555], [4.555, 4.555, 0.000]], "species": ["Ca", "Ce", "Ce", "Ce", "Ce", "Dy"], "frac_coords": [[0.000, 0.000, 0.000], [0.382, 0.382, 0.382], [0.382, 0.382, 0.853], [0.382, 0.853, 0.382], [0.853, 0.382, 0.382], [0.750, 0.750, 0.750]]}